## i
RbZrOF2 | GGA-PBE | relaxed

volume	21.079	Å³/atom
total moment	1.0	μB/f.u.

Cell: 4.697 4.697 4.778 Å, 90.00 90.00 90.00°
Atoms (fractional coordinates):
F (0.500, 0.000, 0.000)
Rb (0.000, 0.000, 0.000)
Zr (0.500, 0.500, 0.500)
F (0.000, 0.500, 0.000)
O (0.000, 0.000, 0.500)

***

## ii
RbZrOF2 | GGA-PBE | relaxed

volume	16.974	Å³/atom
total moment	1.0	μB/f.u.

Cell: 4.518 4.518 4.158 Å, 90.00 90.00 90.00°
Atoms (fractional coordinates):
F (0.500, 0.000, 0.000)
O (0.000, 0.000, 0.500)
Rb (0.500, 0.500, 0.500)
F (0.000, 0.500, 0.000)
Zr (0.000, 0.000, 0.000)

***

Energy above the most stable structure, in kJ/mol of atoms: i 217.4; ii 0.0

***

## i
Re2OF | GGA-PBE | relaxed

volume	12.899	Å³/atom
total moment	0.0	μB/f.u.

Cell: 3.786 3.786 7.681 Å, 75.73 75.73 90.00°
Atoms (fractional coordinates):
Re (0.375, 0.434, 0.750)
O (0.500, 0.500, 0.000)
O (0.250, 0.750, 0.500)
F (0.000, 0.000, 0.000)
Re (0.875, 0.816, 0.750)
Re (0.566, 0.125, 0.250)
Re (0.184, 0.625, 0.250)
F (0.750, 0.250, 0.500)

***

## ii
Re2OF | GGA-PBE | relaxed

volume	11.792	Å³/atom
total moment	0.0	μB/f.u.

Cell: 4.056 4.056 4.056 Å, 60.00 60.00 60.00°
Atoms (fractional coordinates):
Re (0.250, 0.250, 0.250)
F (0.500, 0.500, 0.500)
Re (0.750, 0.750, 0.750)
O (0.000, 0.000, 0.000)

***

Energy above the most stable structure, in kJ/mol of atoms: i 0.0; ii 100.7

***

## i
SrReOF2 | GGA-PBE | relaxed

volume	16.088	Å³/atom
total moment	0.0	μB/f.u.

Cell: 4.597 4.597 3.806 Å, 90.00 90.00 90.00°
Atoms (fractional coordinates):
Sr (0.500, 0.500, 0.500)
F (0.000, 0.500, 0.000)
Re (0.000, 0.000, 0.000)
F (0.500, 0.000, 0.000)
O (0.000, 0.000, 0.500)

***

## ii
SrReOF2 | GGA-PBE | relaxed

volume	20.245	Å³/atom
total moment	5.0	μB/f.u.

Cell: 4.505 4.505 4.988 Å, 90.00 90.00 90.00°
Atoms (fractional coordinates):
O (0.000, 0.000, 0.500)
F (0.500, 0.000, 0.000)
Sr (0.000, 0.000, 0.000)
F (0.000, 0.500, 0.000)
Re (0.500, 0.500, 0.500)

***

Energy above the most stable structure, in kJ/mol of atoms: i 0.0; ii 78.5

***

## i
TiReOF2 | GGA-PBE | relaxed

volume	14.356	Å³/atom
total moment	2.5	μB/f.u.

Cell: 4.354 4.354 3.787 Å, 90.00 90.00 90.00°
Atoms (fractional coordinates):
Re (0.000, 0.000, 0.000)
F (0.000, 0.500, 0.000)
Ti (0.500, 0.500, 0.500)
O (0.000, 0.000, 0.500)
F (0.500, 0.000, 0.000)

***

## ii
TiReOF2 | GGA-PBE | relaxed

volume	14.104	Å³/atom
total moment	4.8	μB/f.u.

Cell: 4.293 4.293 3.827 Å, 90.00 90.00 90.00°
Atoms (fractional coordinates):
Ti (0.000, 0.000, 0.000)
F (0.000, 0.500, 0.000)
Re (0.500, 0.500, 0.500)
F (0.500, 0.000, 0.000)
O (0.000, 0.000, 0.500)

***

Energy above the most stable structure, in kJ/mol of atoms: i 31.4; ii 0.0